The following is a PBE-GGA calculation of a relaxed structure of DyY2ZrP4, from Alexandria.

Output
The formation energy comes out at -1.557 eV per atom. The value obtained for the density is 5.4 g cm⁻³. The calculation puts the spin magnetization at 0.00 μB/cell.

Cell lengths 6.8135, 3.9300, 6.8142 Å; angles 90.00, 109.27, 90.00 degrees
Space group P2/m (No. 10)
Symmetry-distinct sites (fractional):
Dy: 0.0000 0.0000 0.0000 x1
Y: 0.0000 0.5000 0.5000 x1
Y: 0.5000 0.0000 0.5000 x1
Zr: 0.5000 0.5000 0.0000 x1
P: 0.2557 0.5000 0.2436 x2
P: 0.2608 0.0000 0.7611 x2